#one
This record from Alexandria describes an optimized crystal structure of BaYZn2. The functional is PBEsol.

Unit cell a=3.6115 b=5.3211 c=5.3740 alpha=90.00 beta=90.00 gamma=90.00
Space group Pmm2 (No. 25)
Unique sites:
Ba (0.0000, 0.0000, 0.0000) x1
Y (0.0000, 0.5000, 0.5269) x1
Zn (0.5000, 0.0000, 0.4954) x1
Zn (0.5000, 0.5000, 0.0502) x1

Calculated values
For the total moment, the calculation gives 0.000 μB/atom.

#two
This record from Alexandria describes an optimized crystal structure of BaYZn2. The functional is PBEsol.

Unit cell a=3.7024 b=3.7024 c=7.6263 alpha=90.00 beta=90.00 gamma=90.00
Space group P4/mmm (No. 123)
Unique sites:
Ba (0.0000, 0.0000, 0.0000) x1
Y (0.0000, 0.0000, 0.5000) x1
Zn (0.5000, 0.5000, 0.3053) x2

Calculated values
For the total moment, the calculation gives 0.000 μB/atom.

Pick #two: it beats the second-best structure by 9.6 kJ/mol of atoms.

#one
This record from Alexandria describes an optimized crystal structure of AgHg2Os. The functional is PBEsol.

Unit cell a=2.8527 b=5.1404 c=9.7245 alpha=90.00 beta=90.00 gamma=90.00
Space group Immm (No. 71)
Unique sites:
Ag (0.0000, 0.0000, 0.0000) x2
Hg (0.0000, 0.5000, 0.2457) x4
Os (0.0000, 0.0000, 0.5000) x2

Calculated values
For the total moment, the calculation gives 0.000 μB/atom.

#two
This record from Alexandria describes an optimized crystal structure of AgHg2Os. The functional is PBEsol.

Unit cell a=4.0545 b=4.0545 c=8.5226 alpha=90.00 beta=90.00 gamma=90.00
Space group I-4m2 (No. 119)
Unique sites:
Ag (0.0000, 0.0000, 0.0000) x2
Hg (0.0000, 0.0000, 0.5000) x2
Hg (0.0000, 0.5000, 0.2500) x2
Os (0.0000, 0.5000, 0.7500) x2

Calculated values
For the total moment, the calculation gives 0.165 μB/atom.

Pick #one: it beats the second-best structure by 3.6 kJ/mol of atoms.

#one
This record from Alexandria describes an optimized crystal structure of FeOsSe2. The functional is PBEsol.

Unit cell a=3.0359 b=3.0359 c=6.1471 alpha=90.00 beta=90.00 gamma=90.00
Space group P4/mmm (No. 123)
Unique sites:
Fe (0.0000, 0.0000, 0.0000) x1
Os (0.0000, 0.0000, 0.5000) x1
Se (0.5000, 0.5000, 0.2389) x2

Calculated values
For the total moment, the calculation gives 0.458 μB/atom.

#two
This record from Alexandria describes an optimized crystal structure of FeOsSe2. The functional is PBEsol.

Unit cell a=2.9196 b=2.9196 c=7.5807 alpha=90.00 beta=90.00 gamma=90.00
Space group P4mm (No. 99)
Unique sites:
Fe (0.0000, 0.0000, 0.0000) x1
Os (0.5000, 0.5000, 0.2437) x1
Se (0.0000, 0.0000, 0.4323) x1
Se (0.5000, 0.5000, 0.8400) x1

Calculated values
For the total moment, the calculation gives 0.337 μB/atom.

Pick #two: it beats the second-best structure by 28.8 kJ/mol of atoms.

#one
This record from Alexandria describes an optimized crystal structure of Tl2CrAu. The functional is PBEsol.

Unit cell a=6.1281 b=9.8423 c=3.3048 alpha=90.00 beta=121.59 gamma=90.00
Space group C2/m (No. 12)
Unique sites:
Tl (0.2500, 0.2500, 0.0000) x4
Cr (0.0000, 0.0000, 0.5000) x2
Au (0.0000, 0.5000, 0.5000) x2

Calculated values
For the total moment, the calculation gives 0.997 μB/atom.

#two
This record from Alexandria describes an optimized crystal structure of Tl2CrAu. The functional is PBEsol.

Unit cell a=3.3134 b=3.3134 c=27.2678 alpha=90.00 beta=90.00 gamma=120.00
Space group R3m (No. 160, hexagonal axes)
Unique sites:
Tl (0.0000, 0.0000, 0.0000) x3
Tl (0.0000, 0.0000, 0.2325) x3
Cr (0.0000, 0.0000, 0.4860) x3
Au (0.0000, 0.0000, 0.7518) x3

Calculated values
For the total moment, the calculation gives 0.967 μB/atom.

Pick #two: it beats the second-best structure by 8.1 kJ/mol of atoms.

#one
This record from Alexandria describes an optimized crystal structure of K2ScRh. The functional is PBEsol.

Unit cell a=7.4931 b=7.4931 c=7.4931 alpha=90.00 beta=90.00 gamma=90.00
Space group Fm-3m (No. 225)
Unique sites:
K (0.2500, 0.2500, 0.2500) x8
Sc (0.0000, 0.0000, 0.0000) x4
Rh (0.0000, 0.0000, 0.5000) x4

Calculated values
For the total moment, the calculation gives 0.070 μB/atom.

#two
This record from Alexandria describes an optimized crystal structure of K2ScRh. The functional is PBEsol.

Unit cell a=3.0060 b=3.0060 c=11.8684 alpha=90.00 beta=90.00 gamma=90.00
Space group P4/mmm (No. 123)
Unique sites:
K (0.0000, 0.0000, 0.2007) x2
Sc (0.5000, 0.5000, 0.5000) x1
Rh (0.5000, 0.5000, 0.0000) x1

Calculated values
For the total moment, the calculation gives 0.143 μB/atom.

Pick #two: it beats the second-best structure by 22.2 kJ/mol of atoms.

#one
This record from Alexandria describes an optimized crystal structure of LaTa2Mn. The functional is PBEsol.

Unit cell a=3.2316 b=4.6364 c=5.0040 alpha=90.00 beta=90.00 gamma=90.00
Space group Pmmm (No. 47)
Unique sites:
La (0.0000, 0.0000, 0.0000) x1
Ta (0.0000, 0.5000, 0.5000) x1
Ta (0.5000, 0.0000, 0.5000) x1
Mn (0.5000, 0.5000, 0.0000) x1

Calculated values
For the total moment, the calculation gives 0.446 μB/atom.

#two
This record from Alexandria describes an optimized crystal structure of LaTa2Mn. The functional is PBEsol.

Unit cell a=3.0911 b=3.0911 c=7.9502 alpha=90.00 beta=90.00 gamma=90.00
Space group P4mm (No. 99)
Unique sites:
La (0.0000, 0.0000, 0.0000) x1
Ta (0.0000, 0.0000, 0.4334) x1
Ta (0.5000, 0.5000, 0.6668) x1
Mn (0.5000, 0.5000, 0.2733) x1

Calculated values
For the total moment, the calculation gives 0.000 μB/atom.

Pick #two: it beats the second-best structure by 29.7 kJ/mol of atoms.

#one
This record from Alexandria describes an optimized crystal structure of TaRh2Br. The functional is PBEsol.

Unit cell a=4.1249 b=4.1249 c=7.4445 alpha=90.00 beta=90.00 gamma=90.00
Space group I4/mmm (No. 139)
Unique sites:
Ta (0.0000, 0.0000, 0.0000) x2
Rh (0.0000, 0.5000, 0.2500) x4
Br (0.0000, 0.0000, 0.5000) x2

Calculated values
For the total moment, the calculation gives 0.000 μB/atom.

#two
This record from Alexandria describes an optimized crystal structure of TaRh2Br. The functional is PBEsol.

Unit cell a=3.2100 b=3.1528 c=7.1213 alpha=90.00 beta=90.15 gamma=90.00
Space group P2/m (No. 10)
Unique sites:
Ta (0.0000, 0.0000, 0.0000) x1
Rh (0.4990, 0.5000, 0.8064) x2
Br (0.5000, 0.0000, 0.5000) x1

Calculated values
For the total moment, the calculation gives 0.000 μB/atom.

Pick #two: it beats the second-best structure by 52.8 kJ/mol of atoms.

#one
This record from Alexandria describes an optimized crystal structure of La2MgTl. The functional is PBEsol.

Unit cell a=5.4616 b=5.4616 c=4.0032 alpha=90.00 beta=90.00 gamma=90.00
Space group P4/mmm (No. 123)
Unique sites:
La (0.0000, 0.5000, 0.0000) x2
Mg (0.0000, 0.0000, 0.5000) x1
Tl (0.5000, 0.5000, 0.5000) x1

Calculated values
For the total moment, the calculation gives 0.000 μB/atom.

#two
This record from Alexandria describes an optimized crystal structure of La2MgTl. The functional is PBEsol.

Unit cell a=7.1429 b=9.0675 c=3.6264 alpha=90.00 beta=90.00 gamma=90.00
Space group Cmmm (No. 65)
Unique sites:
La (0.2500, 0.2500, 0.0000) x4
Mg (0.0000, 0.0000, 0.5000) x2
Tl (0.0000, 0.5000, 0.5000) x2

Calculated values
For the total moment, the calculation gives 0.000 μB/atom.

Pick #one: it beats the second-best structure by 0.7 kJ/mol of atoms.

#one
This record from Alexandria describes an optimized crystal structure of NiRuPt2. The functional is PBEsol.

Unit cell a=6.0470 b=6.0470 c=6.0470 alpha=90.00 beta=90.00 gamma=90.00
Space group F-43m (No. 216)
Unique sites:
Ni (0.0000, 0.0000, 0.0000) x4
Ru (0.2500, 0.2500, 0.7500) x4
Pt (0.0000, 0.0000, 0.5000) x4
Pt (0.2500, 0.2500, 0.2500) x4

Calculated values
For the total moment, the calculation gives 0.362 μB/atom.

#two
This record from Alexandria describes an optimized crystal structure of NiRuPt2. The functional is PBEsol.

Unit cell a=3.7811 b=3.7811 c=7.5412 alpha=90.00 beta=90.00 gamma=90.00
Space group I-4m2 (No. 119)
Unique sites:
Ni (0.0000, 0.0000, 0.0000) x2
Ru (0.0000, 0.5000, 0.2500) x2
Pt (0.0000, 0.0000, 0.5000) x2
Pt (0.0000, 0.5000, 0.7500) x2

Calculated values
For the total moment, the calculation gives 0.000 μB/atom.

Pick #two: it beats the second-best structure by 24.5 kJ/mol of atoms.